Entry 1:
The following is a DFT calculation (GGA-PBE) of Ce2HgSe after structural relaxation.

It has space group R-3m (No. 166, hexagonal axes), with a = 4.1922 Å, b = 4.1922 Å, c = 22.8540 Å, α = 90.00°, β = 90.00° and γ = 120.00°. The inequivalent atoms are Ce at (0.0000, 0.0000, 0.2408), Hg at (0.0000, 0.0000, 0.0000) and Se at (0.0000, 0.0000, 0.5000).

For the electronic total energy, the calculation gives -58.3 eV per cell. For the formation energy without anion corrections, the calculation gives -0.9413 eV/atom. The energy above the most stable polymorph in this dataset is 0.0 meV/atom. As for the magnetic moment: 6.588 Bohr magnetons per cell.



Entry 2:
The following is a DFT calculation (GGA-PBE) of Ce2HgSe after structural relaxation.

It has space group P4/mmm (No. 123), with a = 3.5554 Å, b = 3.5554 Å, c = 8.0788 Å, α = 90.00°, β = 90.00° and γ = 90.00°. The inequivalent atoms are Ce at (0.0000, 0.0000, 0.2276), Hg at (0.5000, 0.5000, 0.5000) and Se at (0.5000, 0.5000, 0.0000).

For the electronic total energy, the calculation gives -19.2 eV per cell. For the formation energy without anion corrections, the calculation gives -0.8911 eV/atom. The energy above the most stable polymorph in this dataset is 50.1 meV/atom. As for the magnetic moment: 2.431 Bohr magnetons per cell.



Entry 3:
The following is a DFT calculation (GGA-PBE) of CeHgSe after structural relaxation.

It has space group I4mm (No. 107), with a = 3.7942 Å, b = 3.7942 Å, c = 11.8409 Å, α = 90.00°, β = 90.00° and γ = 90.00°. The inequivalent atoms are Ce at (0.0000, 0.0000, 0.0000), Hg at (0.0000, 0.0000, 0.3100) and Se at (0.0000, 0.0000, 0.6032).

For the electronic total energy, the calculation gives -24.7 eV per cell. For the formation energy without anion corrections, the calculation gives -0.8730 eV/atom. The energy above the most stable polymorph in this dataset is 140.3 meV/atom. As for the magnetic moment: 3.135 Bohr magnetons per cell.



Entry 4:
The following is a DFT calculation (GGA-PBE) of CeHgSe3 after structural relaxation.

It has space group C2/m (No. 12), with a = 14.2764 Å, b = 4.2215 Å, c = 8.9573 Å, α = 90.00°, β = 91.23° and γ = 90.00°. The inequivalent atoms are Ce at (0.1250, 0.0000, 0.0888), Hg at (0.1086, 0.5000, 0.5805), Se at (0.0352, 0.5000, 0.8483), Se at (0.1395, 0.0000, 0.4111) and Se at (0.2505, 0.0000, 0.8394).

For the electronic total energy, the calculation gives -85.7 eV per cell. For the formation energy without anion corrections, the calculation gives -0.9449 eV/atom. As for the magnetic moment: 0.532 Bohr magnetons per cell.